Record 1
{
  "formula": "Li7FeO5F",
  "functional": "PBEsol",
  "state": "optimized geometry",
  "lattice": [[5.391, 0.005, 0.048], [2.577, 4.751, 0.040], [0.551, 0.350, 10.691]],
  "species": ["Li", "Li", "Li", "Li", "Li", "Li", "Li", "Li", "Li", "Li", "Li", "Li", "Li", "Li", "Fe", "Fe", "O", "O", "O", "O", "O", "O", "O", "O", "O", "O", "F", "F"],
  "fractional_positions": [[0.028, 0.631, 0.237], [0.381, 0.588, 0.366], [0.356, 0.324, 0.089], [0.329, 0.357, 0.573], [0.281, 0.027, 0.243], [0.730, 0.273, 0.224], [0.619, 0.995, 0.376], [0.297, 0.752, 0.725], [0.643, 0.007, 0.736], [0.653, 0.692, 0.075], [0.697, 0.652, 0.589], [0.593, 0.401, 0.872], [0.953, 0.644, 0.871], [0.987, 0.304, 0.741], [0.013, 0.002, 0.996], [0.011, 0.010, 0.495], [0.942, 0.009, 0.831], [0.006, 0.941, 0.331], [0.337, 0.707, 0.536], [0.023, 0.281, 0.569], [0.375, 0.306, 0.274], [0.288, 0.006, 0.070], [0.680, 0.032, 0.548], [0.666, 0.655, 0.772], [0.028, 0.672, 0.044], [0.713, 0.326, 0.041], [0.303, 0.379, 0.775], [0.655, 0.667, 0.272]],
  "magmom_total_mub_per_cell": 8.000,
  "sg": "P1 (1)"
}



Record 2
{
  "formula": "InRu3Se",
  "functional": "PBEsol",
  "state": "optimized geometry",
  "lattice": [[4.837, 0.000, 0.000], [0.000, 4.837, 0.000], [0.000, 0.000, 4.837]],
  "species": ["Ru", "Ru", "Ru", "Se", "In"],
  "fractional_positions": [[0.000, 0.500, 0.000], [0.000, 0.000, 0.500], [0.500, 0.000, 0.000], [0.500, 0.500, 0.500], [0.000, 0.000, 0.000]],
  "magmom_total_mub_per_cell": 6.037,
  "e_above_lowest_polymorph_ev_per_fu": 7.50,
  "sg": "Pm-3m (221)"
}



Record 3
{
  "formula": "In2RhCl",
  "functional": "PBEsol",
  "state": "optimized geometry",
  "lattice": [[3.150, 0.000, 0.000], [0.000, 3.150, 0.000], [0.000, 0.000, 7.724]],
  "species": ["Cl", "Rh", "In", "In"],
  "fractional_positions": [[0.500, 0.500, 0.500], [0.500, 0.500, 0.000], [0.000, 0.000, 0.783], [0.000, 0.000, 0.217]],
  "magmom_total_mub_per_cell": 0.000,
  "e_above_lowest_polymorph_ev_per_fu": 0.18,
  "sg": "P4/mmm (123)"
}



Record 4
{
  "formula": "SrSbRh",
  "functional": "PBEsol",
  "state": "optimized geometry",
  "lattice": [[-2.520, -2.431, 0.464], [1.069, -0.473, 3.333], [-2.843, 5.478, -0.183]],
  "species": ["Rh", "Sb", "Sr"],
  "fractional_positions": [[0.962, 0.962, 0.924], [0.374, 0.374, 0.748], [0.664, 0.664, 0.328]],
  "magmom_total_mub_per_cell": 0.000,
  "sg": "I4mm (107)"
}



Record 5
{
  "formula": "Ca2SbRh",
  "functional": "PBEsol",
  "state": "optimized geometry",
  "lattice": [[3.314, 0.000, 0.000], [0.000, 4.711, 0.000], [0.000, 0.000, 6.168]],
  "species": ["Sb", "Ca", "Ca", "Rh"],
  "fractional_positions": [[0.500, 0.500, 0.780], [0.000, 0.000, 0.974], [0.500, 0.500, 0.308], [0.000, 0.000, 0.438]],
  "magmom_total_mub_per_cell": 0.000,
  "sg": "Pmm2 (25)"
}



Record 6
{
  "formula": "Fe2ReCl",
  "functional": "PBEsol",
  "state": "optimized geometry",
  "lattice": [[-2.668, -0.405, 0.532], [0.667, -1.757, 2.009], [0.109, 5.110, 4.434]],
  "species": ["Re", "Fe", "Fe", "Cl"],
  "fractional_positions": [[0.500, 0.500, 0.000], [0.000, 0.000, 0.746], [0.000, 0.000, 0.254], [0.500, 0.500, 0.500]],
  "magmom_total_mub_per_cell": 3.994,
  "e_above_lowest_polymorph_ev_per_fu": 0.00,
  "sg": "P4/mmm (123)"
}



Record 7
{
  "formula": "BiBCl2",
  "functional": "PBEsol",
  "state": "optimized geometry",
  "lattice": [[-2.550, -4.164, 4.125], [-0.920, -6.078, -1.751], [3.617, -4.633, 2.513]],
  "species": ["B", "B", "Bi", "Bi", "Cl", "Cl", "Cl", "Cl"],
  "fractional_positions": [[0.500, 0.500, 0.500], [0.750, 0.750, 0.750], [0.000, 0.000, 0.000], [0.250, 0.250, 0.250], [0.625, 0.125, 0.625], [0.125, 0.625, 0.625], [0.625, 0.625, 0.125], [0.625, 0.625, 0.625]],
  "magmom_total_mub_per_cell": 0.000,
  "e_above_lowest_polymorph_ev_per_fu": 1.24,
  "sg": "Fd-3m (227)"
}



Record 8
{
  "formula": "Re3SiAg",
  "functional": "PBEsol",
  "state": "optimized geometry",
  "lattice": [[4.376, 0.000, 0.000], [0.000, 4.376, 0.000], [0.000, 0.000, 4.376]],
  "species": ["Re", "Re", "Re", "Si", "Ag"],
  "fractional_positions": [[0.000, 0.500, 0.000], [0.000, 0.000, 0.500], [0.500, 0.000, 0.000], [0.000, 0.000, 0.000], [0.500, 0.500, 0.500]],
  "magmom_total_mub_per_cell": 0.000,
  "sg": "Pm-3m (221)"
}



Number 1: theoretical density 2.470 g/cm³, formation energy (no corrections) -182 kJ/mol of atoms, calculated volume 9.8 Å³ per atom. Number 2: theoretical density 7.292 g/cm³, formation energy (no corrections) 221 kJ/mol of atoms, calculated volume 22.6 Å³ per atom. Number 3: theoretical density 7.974 g/cm³, formation energy (no corrections) -33 kJ/mol of atoms, calculated volume 19.2 Å³ per atom. Number 4: theoretical density 7.359 g/cm³, formation energy (no corrections) -47 kJ/mol of atoms, calculated volume 23.5 Å³ per atom. Number 5: theoretical density 5.255 g/cm³, formation energy (no corrections) -20 kJ/mol of atoms, calculated volume 24.1 Å³ per atom. Number 6: theoretical density 10.812 g/cm³, formation energy (no corrections) 31 kJ/mol of atoms, calculated volume 12.8 Å³ per atom. Number 7: theoretical density 5.228 g/cm³, formation energy (no corrections) 49 kJ/mol of atoms, calculated volume 23.1 Å³ per atom. Number 8: theoretical density 13.760 g/cm³, formation energy (no corrections) 141 kJ/mol of atoms, calculated volume 16.8 Å³ per atom.